1.
DFT (GGA-PBE) results for an optimized crystal structure of PuThPb.

Computed properties:
As for the symmetry: F-43m. As for the uncorrected energy: -8.215 eV per atom.

Structure (POSCAR):
```
PuThPb
1.0
0.000 3.762 3.762
3.762 0.000 3.762
3.762 3.762 0.000
Th Pu Pb
1 1 1
direct
0.750 0.750 0.750
0.250 0.250 0.250
0.000 0.000 0.000
```



2.
DFT (GGA-PBE) results for an optimized crystal structure of TmPuPb.

Computed properties:
The calculation puts the distance to the lowest polymorph of the same formula at 0.000 eV/atom. As for the symmetry: F-43m. As for the uncorrected energy: -7.409 eV per atom.

Structure (POSCAR):
```
TmPuPb
1.0
-3.329 1.190 3.850
-2.154 4.758 0.216
-5.085 0.616 -1.040
Tm Pb Pu
1 1 1
direct
0.750 0.750 0.750
0.000 0.000 0.000
0.250 0.250 0.250
```



3.
DFT (GGA-PBE) results for an optimized crystal structure of PuUPb.

Computed properties:
The calculation puts the distance to the lowest polymorph of the same formula at 0.000 eV/atom. As for the symmetry: F-43m. As for the uncorrected energy: -9.201 eV per atom.

Structure (POSCAR):
```
PuUPb
1.0
-0.200 -5.006 0.433
-4.405 -2.387 -0.431
-0.936 -2.838 -4.044
Pu U Pb
1 1 1
direct
0.250 0.250 0.250
0.000 0.000 0.000
0.500 0.500 0.500
```



Q: Look up the uncorrected energy of the second one.
A: -7.409 eV per atom



Q: Look up the uncorrected energy of the third one.
A: -9.201 eV per atom



Q: Which value of uncorrected energy does entry 1 give?
A: -8.215 eV per atom